Entry 1:
A relaxed LiGaHPd2 crystal. Source: the Alexandria database, functional PBE.

Cell and atoms, written as POSCAR:
```
LiGaHPd2
1.0
3.9754 0.0000 0.0000
0.0000 3.9754 0.0000
0.0000 0.0000 3.7337
Li Ga H Pd
1 1 1 2
Cartesian
0.0000 0.0000 0.0000
1.9877 1.9877 0.0000
0.0000 0.0000 1.8669
0.0000 1.9877 1.8669
1.9877 0.0000 1.8669
```

## Properties
volume	11.8	Å³ per atom
energy	-4.26	eV per atom

Entry 2:
A relaxed LiPm2GaH crystal. Source: the Alexandria database, functional PBE.

Cell and atoms, written as POSCAR:
```
LiPm2GaH
1.0
5.0014 0.0000 0.0000
0.0000 5.0014 0.0000
0.0000 0.0000 3.9551
Li Pm Ga H
1 2 1 1
Cartesian
0.0000 0.0000 0.0000
0.0000 2.5007 1.9776
2.5007 0.0000 1.9776
2.5007 2.5007 0.0000
0.0000 0.0000 1.9776
```

## Properties
volume	19.8	Å³ per atom
energy	-3.98	eV per atom